1.
VASP calculation (PBE-GGA) on a relaxed Ba3IrOs crystal.

Calculated values
Spin magnetization, μB/f.u.: 0.03
Total DFT energy (no corrections), eV/atom: -4.257
Offset from the most stable computed form, eV/atom: 0.000
ΔH_f (0 K), eV per formula unit: 4.58
Crystal system: cubic
Space group: Pm-3m

Lattice parameters (Å, degrees): 5.744 5.744 5.744 90.00 90.00 90.00
Site moments in Bohr magnetons follow the coordinates.
Atoms (fractional coordinates):
Ir 0.500 0.500 0.500  -0.06
Os 0.000 0.000 0.000  0.01
Ba 0.000 0.500 0.000  0.00
Ba 0.000 0.000 0.500  0.00
Ba 0.500 0.000 0.000  0.00

***

2.
VASP calculation (PBE-GGA) on a relaxed Mg7Hg2Au2 crystal.

Calculated values
Spin magnetization, μB/f.u.: 0.00
Total DFT energy (no corrections), eV/atom: -2.017
Offset from the most stable computed form, eV/atom: 0.000
ΔH_f (0 K), eV per formula unit: -3.87
Crystal system: orthorhombic
Space group: Imm2

Lattice parameters (Å, degrees): 4.491 7.736 7.920 119.24 106.47 90.00
Atoms (fractional coordinates):
Mg 0.175 0.071 0.349
Mg 0.144 0.459 0.288
Mg 0.500 0.973 0.000
Mg 0.355 0.484 0.710
Mg 0.645 0.775 0.290
Mg 0.825 0.722 0.651
Mg 0.856 0.171 0.712
Hg 0.000 0.672 0.000
Hg 0.500 0.342 0.000
Au 0.292 0.884 0.584
Au 0.708 0.300 0.416

***

Question: The highest total DFT energy (no corrections) belongs to which entry?
Answer: Mg7Hg2Au2

***

Question: Which of these has the highest ΔH_f (0 K)?
Answer: Ba3IrOs